# 1
First-principles (PBE-GGA) data for a relaxed NaScC2O6 crystal, as listed in Alexandria via LeMat-Bulk.

It has space group C2/c (No. 15), with a = 7.405 Å, b = 9.633 Å, c = 6.690 Å, α = 90.00°, β = 107.44° and γ = 90.00°. Symmetry generates all atoms from Na at (0.000, 0.097, 0.250), Sc at (0.000, 0.425, 0.750), C at (0.233, 0.350, 0.239), O at (0.080, 0.392, 0.090), O at (0.195, 0.060, 0.618) and O at (0.209, 0.275, 0.762).


# 2
First-principles (PBE-GGA) data for a relaxed NaScCO2 crystal, as listed in Alexandria via LeMat-Bulk.

It has space group P4/mmm (No. 123), with a = 3.836 Å, b = 3.836 Å, c = 4.829 Å, α = 90.00°, β = 90.00° and γ = 90.00°. Symmetry generates all atoms from Na at (0.000, 0.000, 0.000), Sc at (0.000, 0.000, 0.500), C at (0.500, 0.500, 0.500) and O at (0.000, 0.500, 0.000).


# 3
First-principles (PBE-GGA) data for a relaxed Na3SiSnCO7 crystal, as listed in Alexandria via LeMat-Bulk.

It has space group P2_1/m (No. 11), with a = 5.236 Å, b = 6.923 Å, c = 9.407 Å, α = 90.00°, β = 91.01° and γ = 90.00°. Symmetry generates all atoms from Na at (0.220, 0.250, 0.411), Na at (0.254, 0.504, 0.755), Si at (0.292, 0.250, 0.088), Sn at (0.224, 0.750, 0.135), C at (0.274, 0.750, 0.448), O at (0.060, 0.750, 0.373), O at (0.169, 0.250, 0.924), O at (0.203, 0.062, 0.183), O at (0.263, 0.750, 0.585), O at (0.392, 0.750, 0.923) and O at (0.493, 0.750, 0.385).


Result set for magnetization: 0.00, 0.00, 0.00 μB/atom, one per record in the order listed.
Result set for VASP energy: -304.7, -20.9, -163.9 eV for the cell shown, one per record in the order listed.